# 1
! HgP2Rh GGA-PBE optimized geometry; values from VASP
! Volume, Å³ per cell: 79
! D(E_F), states/eV per atom: 0.207
! Theoretical density, kg/m3: 7649
! Crystal system: tetragonal
! Raw total energy, eV per atom: -4.60
&SYSTEM
  ibrav = 0, nat = 4, ntyp = 3
/
ATOMIC_SPECIES
Hg 200.59 Hg.upf
P 30.97 P.upf
Rh 102.91 Rh.upf
CELL_PARAMETERS angstrom
3.167 0.000 0.000
0.000 3.167 0.000
0.000 0.000 7.911
ATOMIC_POSITIONS crystal
Hg 0.000 0.000 0.000
P 0.500 0.500 0.352
P 0.500 0.500 0.648
Rh 0.000 0.000 0.500

---

# 2
! HgPRh GGA-PBE optimized geometry; values from VASP
! Volume, Å³ per cell: 229
! ΔE to the lowest computed polymorph, eV/atom: 0.564
! D(E_F), states/eV per atom: 0.690
! Theoretical density, kg/m3: 9704
! Crystal system: cubic
! Raw total energy, eV per atom: -4.12
&SYSTEM
  ibrav = 0, nat = 12, ntyp = 3
/
ATOMIC_SPECIES
Hg 200.59 Hg.upf
P 30.97 P.upf
Rh 102.91 Rh.upf
CELL_PARAMETERS angstrom
6.117 0.000 0.000
0.000 6.117 0.000
0.000 0.000 6.117
ATOMIC_POSITIONS crystal
Hg 0.000 0.000 0.000
Hg 0.000 0.500 0.500
Hg 0.500 0.000 0.500
Hg 0.500 0.500 0.000
P 0.000 0.000 0.500
P 0.000 0.500 0.000
P 0.500 0.000 0.000
P 0.500 0.500 0.500
Rh 0.250 0.250 0.750
Rh 0.250 0.750 0.250
Rh 0.750 0.250 0.250
Rh 0.750 0.750 0.750

---

# 3
! HgP2Rh GGA-PBE optimized geometry; values from VASP
! Volume, Å³ per cell: 132
! D(E_F), states/eV per atom: 0.471
! Theoretical density, kg/m3: 9218
! Crystal system: orthorhombic
! Raw total energy, eV per atom: -4.17
&SYSTEM
  ibrav = 0, nat = 8, ntyp = 3
/
ATOMIC_SPECIES
Hg 200.59 Hg.upf
P 30.97 P.upf
Rh 102.91 Rh.upf
CELL_PARAMETERS angstrom
5.506 0.000 0.000
0.000 7.207 0.000
0.000 0.000 3.318
ATOMIC_POSITIONS crystal
Hg 0.000 0.000 0.000
Hg 0.500 0.500 0.000
P 0.250 0.250 0.500
P 0.250 0.750 0.500
P 0.750 0.250 0.500
P 0.750 0.750 0.500
Rh 0.000 0.500 0.000
Rh 0.500 0.000 0.000

---

# 4
! HgP2Rh GGA-PBE optimized geometry; values from VASP
! Volume, Å³ per cell: 143
! D(E_F), states/eV per atom: 0.550
! Theoretical density, kg/m3: 8506
! Crystal system: orthorhombic
! Raw total energy, eV per atom: -4.44
&SYSTEM
  ibrav = 0, nat = 8, ntyp = 3
/
ATOMIC_SPECIES
Hg 200.59 Hg.upf
P 30.97 P.upf
Rh 102.91 Rh.upf
CELL_PARAMETERS angstrom
2.838 0.000 0.000
0.000 4.867 0.000
0.000 0.000 10.331
ATOMIC_POSITIONS crystal
Hg 0.000 0.000 0.000
Hg 0.500 0.500 0.500
P 0.000 0.500 0.192
P 0.000 0.500 0.808
P 0.500 0.000 0.308
P 0.500 0.000 0.692
Rh 0.000 0.000 0.500
Rh 0.500 0.500 0.000